# Pm5Bi2H PBE relaxed
data_Pm5Bi2H
_symmetry_space_group_name_H-M 'P 1'
_symmetry_Int_Tables_number 1
_symmetry_space_group_name_Hall 'P 1'
_cell_length_a 7.180
_cell_length_b 7.180
_cell_length_c 6.816
_cell_angle_alpha 121.81
_cell_angle_beta 121.81
_cell_angle_gamma 89.97
loop_
_atom_site_label
_atom_site_type_symbol
_atom_site_fract_x
_atom_site_fract_y
_atom_site_fract_z
Bi1 Bi 0.751 0.251 0.502
Bi2 Bi 0.251 0.751 0.502
Pm1 Pm 0.753 0.753 0.002
Pm2 Pm 0.249 0.753 0.002
Pm3 Pm 0.755 0.755 0.509
Pm4 Pm 0.753 0.249 0.002
Pm5 Pm 0.249 0.249 0.002
H1 H 0.016 0.016 0.032
# total magnetization = 0.00 Bohr magnetons per cell
# DOS(E_F) = 0.99 states/eV/atom
# symmetry = I4mm, No. 107
# total DFT energy (no corrections) = -4.782 eV per atom